DFT (PBE with a Hubbard U) results for MoCF2 after structural relaxation.

Calculated values
The energy above the most stable polymorph in this dataset comes out at 702 meV per atom. The volume is 61.4 Å³ per cell. The space group is R-3m. The calculation puts the total magnetization at 1.32 μB/f.u. The calculation puts the density of states at the Fermi level at 2.08 states/eV/cell.

a b c (Å): 9.1779 9.1779 9.1779
angles (deg): 17.55 17.55 17.55
Closest atoms and distances in Å follow each position.
Atoms (fractional coordinates):
Mo1 0.0000 0.0000 0.0000  2 F 1.89
C1 0.5000 0.5000 0.5000  6 C 2.80, 6 F 3.09
F1 0.0696 0.0696 0.0696  1 Mo 1.89
F2 0.9304 0.9304 0.9304  1 Mo 1.89